# Nd2Dy2Zn (GGA-PBE, optimized geometry)
data_Nd2Dy2Zn
_chemical_formula_sum 'Nd8 Dy8 Zn4'
_symmetry_space_group_name_H-M 'C 1 2/m 1'
_symmetry_Int_Tables_number 12
_cell_length_a 8.3454
_cell_length_b 9.4882
_cell_length_c 8.2203
_cell_angle_alpha 90.00
_cell_angle_beta 115.19
_cell_angle_gamma 90.00
loop_
_symmetry_equiv_pos_as_xyz
'x,y,z'
'-x,-y,-z'
'-x,y,-z'
'x,-y,z'
'x+1/2,y+1/2,z'
'-x+1/2,-y+1/2,-z'
'-x+1/2,y+1/2,-z'
'x+1/2,-y+1/2,z'
loop_
_atom_site_label
_atom_site_type_symbol
_atom_site_fract_x
_atom_site_fract_y
_atom_site_fract_z
Nd1 Nd 0.1631 0.0000 0.4132
Nd2 Nd 0.2250 0.5000 0.1238
Dy1 Dy 0.0726 0.3117 0.7332
Zn1 Zn 0.0000 0.1465 0.0000
# **E_form**: -30 meV per atom
# **Total magnetic moment**: 0.0 μB per formula unit
# **Polymorph energy (0 for the lowest one)**: 98 meV/atom



# NdDyZr (GGA-PBE, optimized geometry)
data_NdDyZr
_chemical_formula_sum 'Nd2 Dy2 Zr2'
_symmetry_space_group_name_H-M 'P 1 21/m 1'
_symmetry_Int_Tables_number 11
_cell_length_a 3.3990
_cell_length_b 4.8586
_cell_length_c 10.7203
_cell_angle_alpha 90.00
_cell_angle_beta 99.09
_cell_angle_gamma 90.00
loop_
_symmetry_equiv_pos_as_xyz
'x,y,z'
'-x,-y,-z'
'-x,y+1/2,-z'
'x,-y+1/2,z'
loop_
_atom_site_label
_atom_site_type_symbol
_atom_site_fract_x
_atom_site_fract_y
_atom_site_fract_z
Nd1 Nd 0.0518 0.2500 0.1017
Dy1 Dy 0.3627 0.2500 0.7272
Zr1 Zr 0.2157 0.2500 0.4302
# **E_form**: 135 meV per atom
# **Total magnetic moment**: 0.0 μB per formula unit
# **Polymorph energy (0 for the lowest one)**: 32 meV/atom



# Nd2Dy6Zr (GGA-PBE, optimized geometry)
data_Nd2Dy6Zr
_chemical_formula_sum 'Nd4 Dy12 Zr2'
_symmetry_space_group_name_H-M 'I m m m'
_symmetry_Int_Tables_number 71
_symmetry_space_group_name_Hall '-I 2 2'
_cell_length_a 3.3982
_cell_length_b 9.7925
_cell_length_c 17.3726
_cell_angle_alpha 90.00
_cell_angle_beta 90.00
_cell_angle_gamma 90.00
loop_
_atom_site_label
_atom_site_type_symbol
_atom_site_fract_x
_atom_site_fract_y
_atom_site_fract_z
Nd1 Nd 0.0000 0.0000 0.1642
Dy1 Dy 0.0000 0.1788 0.3365
Dy2 Dy 0.0000 0.2061 0.0000
Zr1 Zr 0.0000 0.0000 0.5000
# **E_form**: 222 meV per atom
# **Total magnetic moment**: 0.0 μB per formula unit